MnBiH2Pt: relaxed, GGA-PBE. Values from VASP.

```
&SYSTEM
  ibrav = 0, nat = 5, ntyp = 4
/
ATOMIC_SPECIES
H 1.01 H.upf
Mn 54.94 Mn.upf
Bi 208.98 Bi.upf
Pt 195.08 Pt.upf
CELL_PARAMETERS angstrom
-0.2106 3.7781 0.3735
-0.4536 0.3463 -3.7593
-5.7771 -0.3874 0.6613
ATOMIC_POSITIONS crystal
H 0.0000 0.5000 0.0000
H 0.5000 0.0000 0.0000
Mn 0.0000 0.0000 0.5000
Bi 0.0000 0.0000 0.0000
Pt 0.5000 0.5000 0.5000
```

- raw total energy (eV/atom) = -4.51


MnBiHS2: relaxed, GGA-PBE. Values from VASP.

```
&SYSTEM
  ibrav = 0, nat = 5, ntyp = 4
/
ATOMIC_SPECIES
H 1.01 H.upf
S 32.06 S.upf
Mn 54.94 Mn.upf
Bi 208.98 Bi.upf
CELL_PARAMETERS angstrom
4.2139 0.0000 0.0000
0.0000 5.6813 0.0000
0.0000 0.0000 4.2139
ATOMIC_POSITIONS crystal
H 0.5000 0.5000 0.5000
S 0.0000 0.0000 0.5000
S 0.5000 0.0000 0.0000
Mn 0.0000 0.0000 0.0000
Bi 0.0000 0.5000 0.0000
```

- raw total energy (eV/atom) = -4.48